[1]
Entry from Alexandria via LeMat-Bulk: a PBEsol-optimized structure of Pt2SeBr (SCAN).

Structure (extended XYZ):
```
4
Lattice="3.233 0.000 0.000 0.000 3.233 0.000 0.000 0.000 6.740" Properties=species:S:1:pos:R:3 pbc="T T T"
Pt 0.000 0.000 1.444
Pt 0.000 0.000 5.296
Se 1.616 1.616 0.000
Br 1.616 1.616 3.370
```

Calculated values
For the excess energy over the best structure of this formula in the dataset, the calculation gives 860 meV per atom. The raw formation energy comes out at 0.5599 eV per atom.

---

[2]
Entry from Alexandria via LeMat-Bulk: a PBEsol-optimized structure of NaSr4As4 (SCAN).

Structure (extended XYZ):
```
36
Lattice="7.706 0.000 0.000 0.000 15.731 0.000 0.000 0.000 8.153" Properties=species:S:1:pos:R:3 pbc="T T T"
Na 1.415 3.933 0.147
Na 2.438 11.798 4.224
Na 5.268 3.933 3.929
Na 6.291 11.798 8.005
Sr 0.009 9.373 5.637
Sr 0.009 14.223 5.637
Sr 1.119 9.803 1.399
Sr 1.119 13.792 1.399
Sr 2.734 1.938 5.476
Sr 2.734 5.927 5.476
Sr 3.844 1.507 1.561
Sr 3.844 6.358 1.561
Sr 3.861 9.373 6.592
Sr 3.861 14.223 6.592
Sr 4.972 9.803 2.677
Sr 4.972 13.792 2.677
Sr 6.586 1.938 6.754
Sr 6.586 5.927 6.754
Sr 7.697 1.507 2.516
Sr 7.697 6.358 2.516
As 0.409 3.933 4.773
As 1.468 0.572 7.866
As 1.468 7.293 7.866
As 1.631 11.798 7.120
As 2.222 3.933 3.044
As 2.384 8.438 3.790
As 2.384 15.158 3.790
As 3.444 11.798 0.697
As 4.262 3.933 7.456
As 5.321 0.572 4.363
As 5.321 7.293 4.363
As 5.484 11.798 5.109
As 6.075 3.933 1.033
As 6.237 8.438 0.287
As 6.237 15.158 0.287
As 7.296 11.798 3.379
```

Calculated values
The formation energy from the elements is -110 kJ/mol of atoms.

---

Number 1: E_tot -177.68 eV for the cell shown, density of states at the Fermi level 0.50 states/eV per atom. Number 2: E_tot -737.38 eV for the cell shown, density of states at the Fermi level 0.03 states/eV per atom.